## Pr2NpCuRh6 (PBE)

Data for Pr2NpCuRh6 after structural relaxation.

Structure (extended XYZ):
```
10
Lattice="-2.681 3.481 -5.040 -5.888 0.052 3.168 -3.091 5.803 1.216" Properties=species:S:1:pos:R:3 pbc="T T T"
Np -4.285 1.767 -0.936
Rh -7.974 5.544 -0.800
Rh -2.134 0.880 -0.466
Rh -3.480 2.627 -2.996
Rh -5.089 0.906 1.123
Rh -9.525 8.457 -0.190
Rh -3.685 3.793 0.144
Pr -6.632 3.811 1.724
Pr -5.028 5.525 -2.380
Cu 0.000 0.000 0.000
```

## Properties
formation enthalpy at 0 K = -0.022 eV per atom
mass density = 9.42 g/cm³
volume = 21.1 Å³/atom
crystal system = cubic
symmetry = Fm-3m
M_tot = 0.000 μB per cell

## LaTaAg3 (PBE)

Data for LaTaAg3 after structural relaxation.

Structure (extended XYZ):
```
5
Lattice="-4.223 -0.911 -2.781 1.977 -4.489 -1.530 -2.159 -2.328 4.040" Properties=species:S:1:pos:R:3 pbc="T T T"
Ag -1.079 -1.164 2.020
Ag -2.112 -0.456 -1.391
Ag 0.988 -2.245 -0.765
La -2.203 -3.864 -0.136
Ta 0.000 0.000 0.000
```

## Properties
formation enthalpy at 0 K = 0.760 eV per atom
mass density = 7.88 g/cm³
volume = 27.1 Å³/atom
distance to the lowest polymorph of the same formula = 0 meV/atom
crystal system = cubic
symmetry = Pm-3m
M_tot = 0.000 μB per cell

## Zr2CrFeOs (PBE)

Data for Zr2CrFeOs after structural relaxation.

Structure (extended XYZ):
```
5
Lattice="5.069 0.000 0.000 0.000 4.537 0.000 0.000 0.000 5.069" Properties=species:S:1:pos:R:3 pbc="T T T"
Cr 0.000 2.268 0.000
Zr 0.000 0.000 2.535
Zr 2.535 0.000 0.000
Fe 2.535 2.268 2.535
Os 0.000 0.000 0.000
```

## Properties
formation enthalpy at 0 K = 0.970 eV per atom
mass density = 6.84 g/cm³
volume = 23.3 Å³/atom
crystal system = tetragonal
symmetry = P4/mmm
M_tot = 5.156 μB per cell

## Tm6In2Pd (PBE)

Data for Tm6In2Pd after structural relaxation.

Structure (extended XYZ):
```
9
Lattice="-3.577 -1.694 3.056 4.973 -1.655 4.904 -1.373 8.480 -0.998" Properties=species:S:1:pos:R:3 pbc="T T T"
Pd 0.000 0.000 0.000
In 0.473 0.599 4.976
In -0.450 4.532 1.986
Tm -0.957 3.377 4.843
Tm 2.036 -2.120 5.299
Tm -0.640 -1.229 2.661
Tm 0.980 1.754 2.118
Tm 3.567 0.892 4.670
Tm -3.544 4.238 2.292
```

## Properties
formation enthalpy at 0 K = -0.229 eV per atom
mass density = 8.37 g/cm³
volume = 29.8 Å³/atom
crystal system = orthorhombic
symmetry = Immm
M_tot = 0.000 μB per cell

## LiSm2Er (PBE)

Data for LiSm2Er after structural relaxation.

Structure (extended XYZ):
```
4
Lattice="-5.401 -0.914 0.745 -3.054 -2.037 -4.132 -1.916 -5.178 0.272" Properties=species:S:1:pos:R:3 pbc="T T T"
Sm -2.593 -2.032 -0.779
Sm -7.778 -6.097 -2.337
Li -5.185 -4.064 -1.558
Er 0.000 0.000 0.000
```

## Properties
formation enthalpy at 0 K = 0.161 eV per atom
mass density = 6.60 g/cm³
volume = 29.9 Å³/atom
distance to the lowest polymorph of the same formula = 92 meV/atom
crystal system = cubic
symmetry = Fm-3m
M_tot = 0.001 μB per cell

## ReSiW2 (PBE)

Data for ReSiW2 after structural relaxation.

Structure (extended XYZ):
```
4
Lattice="8.865 -0.010 -0.006 8.414 2.791 -0.006 8.414 1.354 2.441" Properties=species:S:1:pos:R:3 pbc="T T T"
W 12.799 2.060 1.210
W 0.047 0.008 0.004
Re 6.423 1.034 0.607
Si 19.270 3.101 1.822
```

## Properties
mass density = 15.91 g/cm³
volume = 15.2 Å³/atom
crystal system = trigonal
symmetry = R-3m
energy relative to the elements, uncorrected = 0.62 eV/f.u.
M_tot = 0.000 μB per cell

## SrPr2Cd (PBE)

Data for SrPr2Cd after structural relaxation.

Structure (extended XYZ):
```
4
Lattice="3.728 0.000 0.000 1.864 3.229 0.000 1.864 1.076 12.515" Properties=species:S:1:pos:R:3 pbc="T T T"
Sr 0.000 0.000 0.000
Pr 5.592 3.229 3.730
Pr 1.864 1.076 8.785
Cd 3.728 2.152 6.257
```

## Properties
formation enthalpy at 0 K = 0.131 eV per atom
mass density = 5.31 g/cm³
volume = 37.7 Å³/atom
distance to the lowest polymorph of the same formula = 197 meV/atom
crystal system = trigonal
symmetry = R-3m
M_tot = 0.001 μB per cell

## PrNd2PaN4 (PBE)

Data for PrNd2PaN4 after structural relaxation.

Structure (extended XYZ):
```
8
Lattice="3.621 0.000 0.000 0.000 6.268 0.128 0.000 -2.173 5.857" Properties=species:S:1:pos:R:3 pbc="T T T"
Nd 1.811 -1.086 2.929
Nd 0.000 2.048 2.992
N 1.811 3.192 4.645
N 1.811 0.903 1.340
N 0.000 4.338 1.457
N 0.000 -0.243 4.528
Pr 1.811 3.134 0.064
Pa 0.000 0.000 0.000
```

## Properties
mass density = 8.88 g/cm³
volume = 16.7 Å³/atom
crystal system = monoclinic
symmetry = P2/m
energy relative to the elements, uncorrected = -11.83 eV/f.u.
M_tot = 0.000 μB per cell